Material: Tb2Zn4Ni5
Method: DFT, PBE
State: optimized geometry

a = 5.3022 Å, b = 5.1269 Å, c = 7.9610 Å
α = 80.08°, β = 70.55°, γ = 58.86°
Fractional coordinates of all 11 atoms:
Zn 0.5283 0.6847 0.2588
Zn 0.2129 0.3153 0.2588
Zn 0.4717 0.3153 0.7412
Zn 0.7871 0.6847 0.7412
Ni 0.5000 0.5000 0.0000
Ni 0.7500 0.5000 0.5000
Ni 0.5000 0.0000 0.0000
Ni 0.0000 0.5000 0.0000
Ni 0.2500 0.5000 0.5000
Tb 0.1284 0.0000 0.7433
Tb 0.8716 0.0000 0.2567

Values from the calculation:
* total energy: -4.25 eV per atom

Material: Tb3ZnNi
Method: DFT, PBE
State: optimized geometry

a = 7.0441 Å, b = 8.8669 Å, c = 8.0254 Å
α = 100.97°, β = 90.00°, γ = 90.00°
Fractional coordinates of all 20 atoms:
Tb 0.3246 0.6608 0.0360
Tb 0.6754 0.3392 0.9640
Tb 0.4895 0.9538 0.7854
Tb 0.1754 0.6608 0.5360
Tb 0.5105 0.0462 0.2146
Tb 0.0105 0.9538 0.2854
Tb 0.1495 0.2675 0.0914
Tb 0.6495 0.7325 0.4086
Tb 0.3505 0.2675 0.5914
Tb 0.9895 0.0462 0.7146
Tb 0.8246 0.3392 0.4640
Tb 0.8505 0.7325 0.9086
Ni 0.3244 0.9388 0.4793
Ni 0.1756 0.9388 0.9793
Ni 0.6756 0.0612 0.5207
Ni 0.8244 0.0612 0.0207
Zn 0.5488 0.5668 0.6934
Zn 0.9512 0.5668 0.1934
Zn 0.0488 0.4332 0.8066
Zn 0.4512 0.4332 0.3066

Values from the calculation:
* offset from the most stable computed form: 0 meV/atom
* total energy: -4.46 eV per atom